VASP calculation (PBE-GGA) on crystalline NiMoCl2 at its relaxed geometry.

Computed properties:
raw formation energy = 0.6263 eV/atom
crystal system = tetragonal
excess energy over the best structure of this formula in the dataset = 862 meV/atom

a = 3.552 Å, b = 3.552 Å, c = 11.207 Å
α = 90.00°, β = 90.00°, γ = 90.00°
Fractional coordinates of all 8 atoms:
Ni: 0.000 0.000 0.000
Ni: 0.500 0.500 0.500
Mo: 0.000 0.500 0.250
Mo: 0.500 0.000 0.750
Cl: 0.000 0.000 0.500
Cl: 0.000 0.500 0.750
Cl: 0.500 0.000 0.250
Cl: 0.500 0.500 0.000